An optimized crystal structure of Cu3Ru, computed with PBE.

Unit cell a=5.104 b=5.104 c=5.104 alpha=150.67 beta=128.39 gamma=60.48
Atoms (fractional coordinates):
Cu: 0.000 0.000 0.000
Cu: 0.242 0.742 0.500
Cu: 0.758 0.258 0.500
Ru: 0.500 0.500 0.000

Computed properties:
E_tot, eV per atom: -5.15
Volume, Å³/cell: 50.6